1.
DFT (PBE) results for a relaxed IrSN2 crystal.

Spin magnetization   0.0 Bohr magnetons per cell
Formation energy from raw total energies   1.3230 eV/atom
Total DFT energy (no corrections)   -6.087 eV per atom
Symmetry   I-42d (122)

Unit cell a=5.3482 b=5.3482 c=5.3457 alpha=59.98 beta=59.98 gamma=90.00
Last column: nearest neighbours and their distance in Å.
Fractional positions:
S 0.5000 0.5000 0.0000  4 N 2.31
S 0.2500 0.7500 0.5000  4 N 2.31
Ir 0.0000 0.0000 0.0000  4 N 1.94
Ir 0.7500 0.2500 0.5000  4 N 1.94
N 0.6794 0.1250 0.2500  2 Ir 1.94
N 0.0706 0.6250 0.2500  2 Ir 1.94
N 0.3750 0.3206 0.7500  2 Ir 1.94
N 0.8750 0.9294 0.7500  2 Ir 1.94



2.
DFT (PBE) results for a relaxed Cu4Ni15Ge crystal.

Spin magnetization   6.3 Bohr magnetons per cell
Formation energy   -0.019 eV per atom
Total DFT energy (no corrections)   -5.405 eV per atom
Symmetry   P4/mmm (123)

Unit cell a=3.5560 b=3.5560 c=17.6597 alpha=90.00 beta=90.00 gamma=90.00
Last column: nearest neighbours and their distance in Å.
Fractional positions:
Cu 0.0000 0.0000 0.2011  12 Ni 2.50-2.51
Cu 0.0000 0.0000 0.4001  12 Ni 2.50-2.51
Cu 0.0000 0.0000 0.5999  12 Ni 2.50-2.51
Cu 0.0000 0.0000 0.7989  12 Ni 2.50-2.51
Ni 0.5000 0.5000 0.0000  4 Ge 2.51, 8 Ni 2.51
Ni 0.5000 0.5000 0.2009  8 Ni 2.50-2.51, 4 Cu 2.51
Ni 0.5000 0.5000 0.4004  8 Ni 2.50, 4 Cu 2.51
Ni 0.5000 0.5000 0.5996  8 Ni 2.50, 4 Cu 2.51
Ni 0.5000 0.5000 0.7991  8 Ni 2.50-2.51, 4 Cu 2.51
Ni 0.5000 0.0000 0.1007  8 Ni 2.51, 2 Cu 2.51, 2 Ge 2.51
Ni 0.5000 0.0000 0.3006  4 Cu 2.50, 8 Ni 2.50-2.51
Ni 0.5000 0.0000 0.5000  8 Ni 2.50-2.51, 4 Cu 2.51
Ni 0.5000 0.0000 0.6994  4 Cu 2.50, 8 Ni 2.50-2.51
Ni 0.5000 0.0000 0.8993  8 Ni 2.51, 2 Cu 2.51, 2 Ge 2.51
Ni 0.0000 0.5000 0.1007  8 Ni 2.51, 2 Cu 2.51, 2 Ge 2.51
Ni 0.0000 0.5000 0.3006  4 Cu 2.50, 8 Ni 2.50-2.51
Ni 0.0000 0.5000 0.5000  8 Ni 2.50-2.51, 4 Cu 2.51
Ni 0.0000 0.5000 0.6994  4 Cu 2.50, 8 Ni 2.50-2.51
Ni 0.0000 0.5000 0.8993  8 Ni 2.51, 2 Cu 2.51, 2 Ge 2.51
Ge 0.0000 0.0000 0.0000  12 Ni 2.51